1.
This record from Alexandria describes crystalline DyZn3Pd2 at its relaxed geometry. The functional is PBE.

abc: 13.801 4.155 8.438
angles: 90.00 120.04 90.00
Space group C2/m (No. 12)
Asymmetric unit:
Dy1 0.133 0.000 0.016 x4
Zn1 0.054 0.000 0.390 x4
Zn2 0.089 0.500 0.706 x4
Zn3 0.217 0.500 0.546 x4
Pd1 0.062 0.500 0.195 x4
Pd2 0.211 0.000 0.736 x4

E_form = -0.53 eV/atom
crystal system = monoclinic

2.
This record from Alexandria describes crystalline HfAg2I at its relaxed geometry. The functional is PBE.

abc: 3.470 3.470 15.878
angles: 90.00 90.00 90.00
Space group I4mm (No. 107)
Asymmetric unit:
Hf1 0.000 0.000 0.000 x2
Ag1 0.000 0.000 0.394 x2
Ag2 0.000 0.000 0.805 x2
I1 0.000 0.000 0.617 x2

uncorrected formation energy = 0.0554 eV per atom
energy relative to the lowest polymorph listed for this composition = 0.124 eV/atom
crystal system = tetragonal

3.
This record from Alexandria describes crystalline Pr5Au6 at its relaxed geometry. The functional is PBE.

abc: 16.428 7.588 5.190
angles: 90.00 107.87 90.00
Space group C2/m (No. 12)
Asymmetric unit:
Pr1 0.000 0.000 0.000 x2
Pr2 0.142 0.500 0.647 x4
Pr3 0.174 0.000 0.672 x4
Au1 0.000 0.214 0.500 x4
Au2 0.181 0.226 0.180 x8

E_form = -0.67 eV/atom
crystal system = monoclinic

4.
This record from Alexandria describes crystalline YMnPH2 at its relaxed geometry. The functional is PBE.

abc: 3.811 3.811 4.632
angles: 90.00 90.00 90.00
Space group P4/mmm (No. 123)
Asymmetric unit:
Y1 0.000 0.000 0.000 x1
Mn1 0.500 0.500 0.500 x1
P1 0.500 0.500 0.000 x1
H1 0.000 0.500 0.500 x2

crystal system = tetragonal

5.
This record from Alexandria describes crystalline UPtO6 at its relaxed geometry. The functional is PBE.

abc: 5.5813 5.5813 13.8757
angles: 90.00 90.00 120.00
Space group R-3 (No. 148, hexagonal axes)
Asymmetric unit:
U1 0.0000 0.0000 0.0000 x3
Pt1 0.0000 0.0000 0.5000 x3
O1 0.0099 0.5574 0.2478 x18

uncorrected formation energy = -1.5216 eV per atom
crystal system = trigonal

6.
This record from Alexandria describes crystalline TeMo2Br at its relaxed geometry. The functional is PBE.

abc: 6.591 6.591 6.591
angles: 90.00 90.00 90.00
Space group Fm-3m (No. 225)
Asymmetric unit:
Te1 0.000 0.000 0.000 x4
Mo1 0.250 0.250 0.250 x8
Br1 0.000 0.000 0.500 x4

uncorrected formation energy = 0.6660 eV per atom
energy relative to the lowest polymorph listed for this composition = 0.495 eV/atom
crystal system = cubic

7.
This record from Alexandria describes crystalline Mg3ReH7 at its relaxed geometry. The functional is PBE.

abc: 4.8169 4.8169 10.6011
angles: 90.00 90.00 120.00
Space group P6_3/mmc (No. 194)
Asymmetric unit:
Mg1 0.0000 0.0000 0.2500 x2
Mg2 0.3333 0.6667 0.0692 x4
Re1 0.0000 0.0000 0.0000 x2
H1 0.1699 0.3398 0.5983 x12
H2 0.3333 0.6667 0.2500 x2

crystal system = hexagonal

8.
This record from Alexandria describes crystalline La3TcO at its relaxed geometry. The functional is PBE.

abc: 4.936 4.936 4.936
angles: 90.00 90.00 90.00
Space group Pm-3m (No. 221)
Asymmetric unit:
La1 0.000 0.000 0.500 x3
Tc1 0.500 0.500 0.500 x1
O1 0.000 0.000 0.000 x1

uncorrected formation energy = -0.8981 eV per atom
energy relative to the lowest polymorph listed for this composition = 0.000 eV/atom
crystal system = cubic

Number 1: N(E_F) 0.38 states/eV/atom, uncorrected energy -87.98 eV for the cell shown. Number 2: N(E_F) 0.43 states/eV/atom, uncorrected energy -33.97 eV for the cell shown. Number 3: N(E_F) 0.84 states/eV/atom, uncorrected energy -101.87 eV for the cell shown. Number 4: N(E_F) 0.53 states/eV/atom, uncorrected energy -29.81 eV for the cell shown. Number 5: N(E_F) 0.83 states/eV/atom, uncorrected energy -177.75 eV for the cell shown. Number 6: N(E_F) 0.79 states/eV/atom, uncorrected energy -95.25 eV for the cell shown. Number 7: N(E_F) 0.00 states/eV/atom, uncorrected energy -87.32 eV for the cell shown. Number 8: N(E_F) 0.73 states/eV/atom, uncorrected energy -34.60 eV for the cell shown.